Material: RbMoAs2O8
Method: DFT, PBE+U
State: relaxed

Properties
- Calculated total energy: -6.096 eV/atom
- V: 235.74 Å³ per cell
- SG: No. 166

Cell: 5.4947 5.4947 9.5580 Å, 73.30 73.30 60.00°
Sites, in units of the cell vectors:
1 O 0.7041 0.7041 0.8878
2 O 0.2959 0.2959 0.1122
3 O 0.1248 0.6221 0.6311
4 O 0.3779 0.8752 0.3689
5 O 0.8752 0.3780 0.3689
6 O 0.6220 0.1248 0.6311
7 O 0.6221 0.6220 0.6311
8 O 0.3780 0.3779 0.3689
9 As 0.7655 0.7655 0.7036
10 As 0.2345 0.2345 0.2964
11 Mo 0.5000 0.5000 0.5000
12 Rb 0.0000 0.0000 0.0000